1.
## SmErPt4 (GGA-PBE)

Data for SmErPt4 after structural relaxation.

Calculated values
- energy (eV per atom) = -6.6823
- calculated formation energy (kcal/mol of atoms) = -25.6

Unit cell a=7.7089 b=7.7089 c=7.7089 alpha=90.00 beta=90.00 gamma=90.00
Space group F-43m (No. 216)
One atom of each set of equivalent atoms:
Sm  0.0000  0.0000  0.0000
Er  0.2500  0.2500  0.2500
Pt  0.1247  0.1247  0.6247

2.
## YAl2AuC (GGA-PBE)

Data for YAl2AuC after structural relaxation.

Calculated values
- energy (eV per atom) = -3.1150
- calculated formation energy (kcal/mol of atoms) = 50.2

Unit cell a=5.8234 b=5.8234 c=5.3594 alpha=90.00 beta=90.00 gamma=90.00
Space group P4/mmm (No. 123)
One atom of each set of equivalent atoms:
Y  0.0000  0.0000  0.0000
Al  0.0000  0.5000  0.0000
Au  0.0000  0.0000  0.5000
C  0.5000  0.5000  0.5000

3.
## CsI4O12 (GGA-PBE)

Data for CsI4O12 after structural relaxation.

Calculated values
- energy (eV per atom) = -3.9787
- formation energy without anion corrections (eV per atom) = -0.06

Unit cell a=8.0518 b=8.0518 c=8.0518 alpha=90.00 beta=90.00 gamma=90.00
Space group Im-3 (No. 204)
One atom of each set of equivalent atoms:
Cs  0.0000  0.0000  0.0000
I  0.2500  0.2500  0.2500
O  0.0000  0.2292  0.2784

4.
## PtAuSe2 (GGA-PBE)

Data for PtAuSe2 after structural relaxation.

Calculated values
- energy (eV per atom) = -3.6493
- formation energy without anion corrections (eV per atom) = 0.42

Unit cell a=4.0472 b=4.0472 c=9.0129 alpha=90.00 beta=90.00 gamma=90.00
Space group I-4m2 (No. 119)
One atom of each set of equivalent atoms:
Pt  0.0000  0.0000  0.0000
Au  0.0000  0.5000  0.2500
Se  0.0000  0.0000  0.5000
Se  0.0000  0.5000  0.7500

5.
## Dy2Er3Sc2 (GGA-PBE)

Data for Dy2Er3Sc2 after structural relaxation.

Calculated values
- E above lowest polymorph (meV/atom) = 17
- energy (eV per atom) = -4.8485
- calculated formation energy (kcal/mol of atoms) = 5.3

Unit cell a=9.4278 b=9.4278 c=9.4278 alpha=90.00 beta=90.00 gamma=90.00
Space group I2_13 (No. 199)
One atom of each set of equivalent atoms:
Dy  0.1517  0.3483  0.6517
Er  0.0000  0.2500  0.3156
Sc  0.0510  0.0510  0.0510

6.
## PmMg2Au (GGA-PBE)

Data for PmMg2Au after structural relaxation.

Calculated values
- E above lowest polymorph (meV/atom) = 169
- energy (eV per atom) = -3.1475
- calculated formation energy (kcal/mol of atoms) = -7.9

Unit cell a=4.3705 b=4.3705 c=4.9987 alpha=90.00 beta=90.00 gamma=90.00
Space group P4/mmm (No. 123)
One atom of each set of equivalent atoms:
Pm  0.0000  0.0000  0.0000
Mg  0.0000  0.5000  0.5000
Au  0.5000  0.5000  0.0000

7.
## Ac4Y (GGA-PBE)

Data for Ac4Y after structural relaxation.

Calculated values
- E above lowest polymorph (meV/atom) = 0
- energy (eV per atom) = -4.5377
- calculated formation energy (kcal/mol of atoms) = 1.0

Unit cell a=8.7489 b=8.7489 c=5.5457 alpha=90.00 beta=90.00 gamma=90.00
Space group I4/m (No. 87)
One atom of each set of equivalent atoms:
Ac  0.1026  0.7025  0.0000
Y  0.0000  0.0000  0.5000

8.
## KAg4F8 (GGA-PBE)

Data for KAg4F8 after structural relaxation.

Calculated values
- E above lowest polymorph (meV/atom) = 197
- energy (eV per atom) = -3.2337
- formation energy without anion corrections (eV per atom) = -1.12

Unit cell a=5.7308 b=5.7308 c=5.7308 alpha=90.00 beta=90.00 gamma=90.00
Space group Pm-3m (No. 221)
One atom of each set of equivalent atoms:
K  0.0000  0.0000  0.0000
Ag  0.0000  0.0000  0.5000
Ag  0.5000  0.5000  0.5000
F  0.2550  0.2550  0.2550

9.
## Hf4Al5Ga (GGA-PBE)

Data for Hf4Al5Ga after structural relaxation.

Calculated values
- energy (eV per atom) = -6.2254
- calculated formation energy (kcal/mol of atoms) = -1.6

Unit cell a=6.3460 b=9.0903 c=6.8902 alpha=90.00 beta=90.00 gamma=90.00
Space group Pmmn (No. 59, origin choice 2)
One atom of each set of equivalent atoms:
Hf  0.0021  0.2500  0.2112
Hf  0.2500  0.5584  0.4948
Al  0.0446  0.0633  0.8341
Al  0.2500  0.7500  0.1426
Ga  0.2500  0.2500  0.5576

10.
## K4Rh (GGA-PBE)

Data for K4Rh after structural relaxation.

Calculated values
- E above lowest polymorph (meV/atom) = 0
- energy (eV per atom) = -1.9277
- calculated formation energy (kcal/mol of atoms) = 9.7

Unit cell a=10.2654 b=10.2654 c=4.1015 alpha=90.00 beta=90.00 gamma=90.00
Space group I4/m (No. 87)
One atom of each set of equivalent atoms:
K  0.0627  0.2432  0.0000
Rh  0.0000  0.0000  0.5000

11.
## EuScHgPt (GGA-PBE)

Data for EuScHgPt after structural relaxation.

Calculated values
- energy (eV per atom) = -6.3666
- calculated formation energy (kcal/mol of atoms) = -14.5

Unit cell a=7.1270 b=7.1270 c=7.1270 alpha=90.00 beta=90.00 gamma=90.00
Space group F-43m (No. 216)
One atom of each set of equivalent atoms:
Eu  0.0000  0.0000  0.0000
Sc  0.0000  0.0000  0.5000
Hg  0.2500  0.2500  0.2500
Pt  0.2500  0.2500  0.7500

12.
## TiAsPd2 (GGA-PBE)

Data for TiAsPd2 after structural relaxation.

Calculated values
- energy (eV per atom) = -6.1475
- calculated formation energy (kcal/mol of atoms) = -9.6

Unit cell a=3.8295 b=3.8295 c=18.2316 alpha=90.00 beta=90.00 gamma=90.00
Space group I-42d (No. 122)
One atom of each set of equivalent atoms:
Ti  0.0000  0.0000  0.0000
As  0.0000  0.0000  0.5000
Pd  0.2465  0.2500  0.6250